MnTl2W, optimized geometry, DFT PBE; space-group type = P4mm; electronic total energy = -6.14 eV per atom; energy of formation from the pure elements = 13.2 kcal/mol of atoms; energy above the most stable polymorph in this dataset = 19 meV per atom; D(E_F) = 3.7 states/eV/cell
1.0
-0.798 -2.940 -0.238
2.691 -0.827 1.189
-3.465 0.289 8.048
Tl W Mn
2 1 1
direct
0.500 0.500 0.294
0.000 0.000 0.946
0.000 0.000 0.561
0.500 0.500 0.699